# 1
Computed, not measured: La4Tb7Er after structural relaxation at the GGA-PBE level of DFT.

ΔE_f, eV per atom: 0.267
Volume, Å³/atom: 34.86

The structure in CIF format:
```
data_La4Tb7Er
_space_group_name_H-M_alt 'P 1'
_space_group_IT_number 1
_space_group_name_Hall 'P 1'
_cell_length_a 5.971
_cell_length_b 11.966
_cell_length_c 6.746
_cell_angle_alpha 85.17
_cell_angle_beta 63.73
_cell_angle_gamma 75.55
loop_
_atom_site_label
_atom_site_type_symbol
_atom_site_fract_x
_atom_site_fract_y
_atom_site_fract_z
_atom_site_occupancy
Tb1 Tb 0.500 0.000 0.000 1
Tb2 Tb 0.207 0.082 0.504 1
Tb3 Tb 0.036 0.634 0.294 1
Tb4 Tb 0.793 0.918 0.496 1
Tb5 Tb 0.356 0.511 0.778 1
Tb6 Tb 0.964 0.366 0.706 1
Tb7 Tb 0.644 0.489 0.222 1
Er1 Er 0.000 0.000 0.000 1
La1 La 0.359 0.776 0.507 1
La2 La 0.300 0.290 0.110 1
La3 La 0.700 0.710 0.890 1
La4 La 0.641 0.224 0.493 1
```


# 2
Computed, not measured: La4Tb3Er after structural relaxation at the GGA-PBE level of DFT.

ΔE_f, eV per atom: 0.226
Volume, Å³/atom: 34.49

The structure in CIF format:
```
data_La4Tb3Er
_space_group_name_H-M_alt 'P 1'
_space_group_IT_number 1
_space_group_name_Hall 'P 1'
_cell_length_a 3.472
_cell_length_b 6.321
_cell_length_c 12.708
_cell_angle_alpha 92.62
_cell_angle_beta 97.85
_cell_angle_gamma 90.00
loop_
_atom_site_label
_atom_site_type_symbol
_atom_site_fract_x
_atom_site_fract_y
_atom_site_fract_z
_atom_site_occupancy
Tb1 Tb 0.860 0.251 0.720 1
Tb2 Tb 0.000 0.500 0.000 1
Tb3 Tb 0.140 0.749 0.280 1
Er1 Er 0.500 0.000 0.000 1
La1 La 0.280 0.753 0.559 1
La2 La 0.720 0.247 0.441 1
La3 La 0.894 0.758 0.788 1
La4 La 0.106 0.242 0.212 1
```


# 3
Computed, not measured: La5Tb2Er5 after structural relaxation at the GGA-PBE level of DFT.

ΔE_f, eV per atom: 0.031
Volume, Å³/atom: 33.46

The structure in CIF format:
```
data_La5Tb2Er5
_space_group_name_H-M_alt 'P 1'
_space_group_IT_number 1
_space_group_name_Hall 'P 1'
_cell_length_a 5.102
_cell_length_b 10.823
_cell_length_c 8.125
_cell_angle_alpha 98.67
_cell_angle_beta 71.70
_cell_angle_gamma 76.37
loop_
_atom_site_label
_atom_site_type_symbol
_atom_site_fract_x
_atom_site_fract_y
_atom_site_fract_z
_atom_site_occupancy
Er1 Er 0.000 0.500 0.500 1
Er2 Er 0.669 0.746 0.916 1
Er3 Er 0.667 0.000 0.665 1
Er4 Er 0.331 0.254 0.084 1
Er5 Er 0.333 0.000 0.335 1
La1 La 0.668 0.251 0.413 1
La2 La 0.997 0.251 0.755 1
La3 La 0.332 0.749 0.587 1
La4 La 0.000 0.000 0.000 1
La5 La 0.003 0.749 0.245 1
Tb1 Tb 0.668 0.499 0.166 1
Tb2 Tb 0.332 0.501 0.834 1
```


# 4
Computed, not measured: La3Tb4Er after structural relaxation at the GGA-PBE level of DFT.

ΔE_f, eV per atom: 0.129
Volume, Å³/atom: 34.22

The structure in CIF format:
```
data_La3Tb4Er
_space_group_name_H-M_alt 'P 1'
_space_group_IT_number 1
_space_group_name_Hall 'P 1'
_cell_length_a 3.519
_cell_length_b 9.018
_cell_length_c 9.018
_cell_angle_alpha 82.15
_cell_angle_beta 78.75
_cell_angle_gamma 78.75
loop_
_atom_site_label
_atom_site_type_symbol
_atom_site_fract_x
_atom_site_fract_y
_atom_site_fract_z
_atom_site_occupancy
Er1 Er 0.500 0.000 0.000 1
Tb1 Tb 0.366 0.889 0.379 1
Tb2 Tb 0.366 0.379 0.889 1
Tb3 Tb 0.634 0.111 0.621 1
Tb4 Tb 0.634 0.621 0.111 1
La1 La 0.243 0.757 0.757 1
La2 La 0.757 0.243 0.243 1
La3 La 0.000 0.500 0.500 1
```


# 5
Computed, not measured: LaTb3Er7 after structural relaxation at the GGA-PBE level of DFT.

ΔE_f, eV per atom: 0.260
Volume, Å³/atom: 32.66

The structure in CIF format:
```
data_LaTb3Er7
_space_group_name_H-M_alt 'P 1'
_space_group_IT_number 1
_space_group_name_Hall 'P 1'
_cell_length_a 5.789
_cell_length_b 8.395
_cell_length_c 8.395
_cell_angle_alpha 83.33
_cell_angle_beta 110.21
_cell_angle_gamma 110.21
loop_
_atom_site_label
_atom_site_type_symbol
_atom_site_fract_x
_atom_site_fract_y
_atom_site_fract_z
_atom_site_occupancy
Er1 Er 0.712 0.403 0.021 1
Er2 Er 0.000 0.500 0.500 1
Er3 Er 0.288 0.597 0.979 1
Er4 Er 0.796 0.796 0.796 1
Er5 Er 0.204 0.204 0.204 1
Er6 Er 0.288 0.979 0.597 1
Er7 Er 0.712 0.021 0.403 1
Tb1 Tb 0.000 0.208 0.792 1
Tb2 Tb 0.500 0.000 0.000 1
Tb3 Tb 0.000 0.792 0.208 1
La1 La 0.500 0.500 0.500 1
```


# 6
Computed, not measured: La4Tb5Er4 after structural relaxation at the GGA-PBE level of DFT.

ΔE_f, eV per atom: 0.031
Volume, Å³/atom: 33.18

The structure in CIF format:
```
data_La4Tb5Er4
_space_group_name_H-M_alt 'P 1'
_space_group_IT_number 1
_space_group_name_Hall 'P 1'
_cell_length_a 5.103
_cell_length_b 9.542
_cell_length_c 9.542
_cell_angle_alpha 85.90
_cell_angle_beta 74.49
_cell_angle_gamma 74.49
loop_
_atom_site_label
_atom_site_type_symbol
_atom_site_fract_x
_atom_site_fract_y
_atom_site_fract_z
_atom_site_occupancy
Tb1 Tb 0.306 0.156 0.231 1
Tb2 Tb 0.463 0.231 0.844 1
Tb3 Tb 0.537 0.769 0.156 1
Tb4 Tb 0.694 0.844 0.769 1
Tb5 Tb 0.000 0.000 0.000 1
La1 La 0.153 0.076 0.618 1
La2 La 0.229 0.618 0.924 1
La3 La 0.847 0.924 0.382 1
La4 La 0.771 0.382 0.076 1
Er1 Er 0.076 0.535 0.312 1
Er2 Er 0.612 0.312 0.465 1
Er3 Er 0.388 0.688 0.535 1
Er4 Er 0.924 0.465 0.688 1
```


# 7
Computed, not measured: La7TbEr12 after structural relaxation at the GGA-PBE level of DFT.

ΔE_f, eV per atom: 0.635
Volume, Å³/atom: 36.18

The structure in CIF format:
```
data_La7TbEr12
_space_group_name_H-M_alt 'P 1'
_space_group_IT_number 1
_space_group_name_Hall 'P 1'
_cell_length_a 9.796
_cell_length_b 9.796
_cell_length_c 9.796
_cell_angle_alpha 109.47
_cell_angle_beta 109.47
_cell_angle_gamma 109.47
loop_
_atom_site_label
_atom_site_type_symbol
_atom_site_fract_x
_atom_site_fract_y
_atom_site_fract_z
_atom_site_occupancy
La1 La 0.500 0.500 0.500 1
La2 La 0.500 0.500 0.000 1
La3 La 0.000 0.500 0.000 1
La4 La 0.500 0.000 0.000 1
La5 La 0.000 0.500 0.500 1
La6 La 0.500 0.000 0.500 1
La7 La 0.000 0.000 0.500 1
Er1 Er 0.753 0.754 0.507 1
Er2 Er 0.753 0.246 0.000 1
Er3 Er 0.754 0.000 0.247 1
Er4 Er 0.507 0.753 0.754 1
Er5 Er 0.246 0.493 0.247 1
Er6 Er 0.246 0.000 0.753 1
Er7 Er 0.247 0.754 0.000 1
Er8 Er 0.247 0.246 0.493 1
Er9 Er 0.000 0.753 0.246 1
Er10 Er 0.493 0.247 0.246 1
Er11 Er 0.000 0.247 0.754 1
Er12 Er 0.754 0.507 0.753 1
Tb1 Tb 0.000 0.000 0.000 1
```


# 8
Computed, not measured: LaTb9Er2 after structural relaxation at the GGA-PBE level of DFT.

ΔE_f, eV per atom: 0.031
Volume, Å³/atom: 32.49

The structure in CIF format:
```
data_LaTb9Er2
_space_group_name_H-M_alt 'P 1'
_space_group_IT_number 1
_space_group_name_Hall 'P 1'
_cell_length_a 3.527
_cell_length_b 11.297
_cell_length_c 11.297
_cell_angle_alpha 120.00
_cell_angle_beta 90.00
_cell_angle_gamma 90.00
loop_
_atom_site_label
_atom_site_type_symbol
_atom_site_fract_x
_atom_site_fract_y
_atom_site_fract_z
_atom_site_occupancy
Tb1 Tb 0.500 0.642 0.821 1
Tb2 Tb 0.000 0.500 0.000 1
Tb3 Tb 0.000 0.500 0.500 1
Tb4 Tb 0.000 0.000 0.500 1
Tb5 Tb 0.500 0.358 0.179 1
Tb6 Tb 0.500 0.821 0.179 1
Tb7 Tb 0.500 0.821 0.642 1
Tb8 Tb 0.500 0.179 0.821 1
Tb9 Tb 0.500 0.179 0.358 1
Er1 Er 0.000 0.667 0.333 1
Er2 Er 0.000 0.333 0.667 1
La1 La 0.000 0.000 0.000 1
```


# 9
Computed, not measured: LaTb3Er2 after structural relaxation at the GGA-PBE level of DFT.

ΔE_f, eV per atom: 0.013
Volume, Å³/atom: 32.39

The structure in CIF format:
```
data_LaTb3Er2
_space_group_name_H-M_alt 'P 1'
_space_group_IT_number 1
_space_group_name_Hall 'P 1'
_cell_length_a 9.492
_cell_length_b 9.492
_cell_length_c 11.602
_cell_angle_alpha 90.00
_cell_angle_beta 90.00
_cell_angle_gamma 158.17
loop_
_atom_site_label
_atom_site_type_symbol
_atom_site_fract_x
_atom_site_fract_y
_atom_site_fract_z
_atom_site_occupancy
Er1 Er 0.447 0.553 0.250 1
Er2 Er 0.000 0.000 0.500 1
Er3 Er 0.553 0.447 0.750 1
Er4 Er 0.000 0.000 0.000 1
Tb1 Tb 0.664 0.336 0.497 1
Tb2 Tb 0.892 0.108 0.750 1
Tb3 Tb 0.336 0.664 0.997 1
Tb4 Tb 0.664 0.336 0.003 1
Tb5 Tb 0.108 0.892 0.250 1
Tb6 Tb 0.336 0.664 0.503 1
La1 La 0.780 0.220 0.250 1
La2 La 0.220 0.780 0.750 1
```


# 10
Computed, not measured: La4Tb5Er2 after structural relaxation at the GGA-PBE level of DFT.

ΔE_f, eV per atom: 0.067
Volume, Å³/atom: 34.04

The structure in CIF format:
```
data_La4Tb5Er2
_space_group_name_H-M_alt 'P 1'
_space_group_IT_number 1
_space_group_name_Hall 'P 1'
_cell_length_a 3.686
_cell_length_b 9.293
_cell_length_c 12.231
_cell_angle_alpha 65.01
_cell_angle_beta 98.68
_cell_angle_gamma 90.00
loop_
_atom_site_label
_atom_site_type_symbol
_atom_site_fract_x
_atom_site_fract_y
_atom_site_fract_z
_atom_site_occupancy
La1 La 0.826 0.973 0.651 1
La2 La 0.980 0.711 0.962 1
La3 La 0.174 0.027 0.349 1
La4 La 0.020 0.289 0.038 1
Er1 Er 0.390 0.572 0.779 1
Er2 Er 0.610 0.428 0.221 1
Tb1 Tb 0.876 0.271 0.752 1
Tb2 Tb 0.242 0.345 0.483 1
Tb3 Tb 0.500 0.000 0.000 1
Tb4 Tb 0.758 0.655 0.517 1
Tb5 Tb 0.124 0.729 0.248 1
```


# 11
Computed, not measured: La5Tb4Er4 after structural relaxation at the GGA-PBE level of DFT.

ΔE_f, eV per atom: 0.031
Volume, Å³/atom: 33.54

The structure in CIF format:
```
data_La5Tb4Er4
_space_group_name_H-M_alt 'P 1'
_space_group_IT_number 1
_space_group_name_Hall 'P 1'
_cell_length_a 5.102
_cell_length_b 9.589
_cell_length_c 9.589
_cell_angle_alpha 85.94
_cell_angle_beta 74.57
_cell_angle_gamma 74.57
loop_
_atom_site_label
_atom_site_type_symbol
_atom_site_fract_x
_atom_site_fract_y
_atom_site_fract_z
_atom_site_occupancy
Er1 Er 0.845 0.921 0.390 1
Er2 Er 0.155 0.079 0.610 1
Er3 Er 0.766 0.390 0.079 1
Er4 Er 0.234 0.610 0.921 1
Tb1 Tb 0.614 0.311 0.462 1
Tb2 Tb 0.924 0.462 0.689 1
Tb3 Tb 0.076 0.538 0.311 1
Tb4 Tb 0.386 0.689 0.538 1
La1 La 0.306 0.155 0.234 1
La2 La 0.000 0.000 0.000 1
La3 La 0.694 0.845 0.766 1
La4 La 0.540 0.766 0.155 1
La5 La 0.460 0.234 0.845 1
```


# 12
Computed, not measured: LaTbEr2 after structural relaxation at the GGA-PBE level of DFT.

ΔE_f, eV per atom: 0.013
Volume, Å³/atom: 32.47

The structure in CIF format:
```
data_LaTbEr2
_space_group_name_H-M_alt 'P 1'
_space_group_IT_number 1
_space_group_name_Hall 'P 1'
_cell_length_a 3.605
_cell_length_b 3.605
_cell_length_c 11.726
_cell_angle_alpha 81.16
_cell_angle_beta 81.16
_cell_angle_gamma 60.00
loop_
_atom_site_label
_atom_site_type_symbol
_atom_site_fract_x
_atom_site_fract_y
_atom_site_fract_z
_atom_site_occupancy
Tb1 Tb 0.500 0.500 0.499 1
Er1 Er 0.248 0.248 0.255 1
Er2 Er 0.085 0.085 0.745 1
La1 La 0.666 0.666 0.001 1
```